Record 1
The following is a DFT calculation (GGA-PBE) of a relaxed structure of CsKIn2Pd.

a b c (Å): 5.331 5.331 6.289
angles (deg): 90.00 90.00 90.00
Fractional positions:
1 Pd 0.000 0.000 0.000
2 Cs 0.500 0.500 0.500
3 K 0.000 0.000 0.500
4 In 0.000 0.500 0.000
5 In 0.500 0.000 0.000

Results
Crystal system = tetragonal
DFT formation energy = -0.15 eV/atom
E_tot = -13.361 eV/cell

=====

Record 2
The following is a DFT calculation (GGA-PBE) of a relaxed structure of Pm2Pr8Tm3.

a b c (Å): 5.739 7.755 11.067
angles (deg): 110.52 90.00 90.00
Fractional positions:
1 Tm 0.000 0.715 0.000
2 Tm 0.500 0.000 0.000
3 Tm 0.000 0.285 0.000
4 Pr 0.000 0.129 0.257
5 Pr 0.500 0.193 0.793
6 Pr 0.000 0.672 0.345
7 Pr 0.500 0.600 0.793
8 Pr 0.500 0.807 0.207
9 Pr 0.000 0.328 0.655
10 Pr 0.500 0.400 0.207
11 Pr 0.000 0.871 0.743
12 Pm 0.500 0.760 0.522
13 Pm 0.500 0.240 0.478

Results
Crystal system = monoclinic
DFT formation energy = 0.19 eV/atom
E_tot = -58.649 eV/cell

=====

Record 3
The following is a DFT calculation (GGA-PBE) of a relaxed structure of SbIr4.

a b c (Å): 4.774 4.774 4.774
angles (deg): 90.00 90.00 90.00
Site moments in Bohr magnetons follow the coordinates.
Fractional positions:
1 Ir 0.500 0.000 0.500  0.36
2 Ir 0.500 0.500 0.000  0.36
3 Ir 0.000 0.500 0.500  0.36
4 Ir 0.000 0.000 0.000  1.22
5 Sb 0.500 0.500 0.500  -0.01

Results
Formation energy (no corrections) = 2.229 eV/atom
Crystal system = cubic
E_tot = -28.422 eV/cell

=====

Record 4
The following is a DFT calculation (GGA-PBE) of a relaxed structure of N.

a b c (Å): 5.726 5.726 5.726
angles (deg): 109.47 109.47 109.47
Site moments in Bohr magnetons follow the coordinates.
Fractional positions:
1 N 0.000 0.000 0.242  0.25
2 N 0.749 0.000 0.749  0.59
3 N 0.000 0.242 0.000  0.25
4 N 0.251 0.251 0.000  0.59
5 N 0.749 0.749 0.000  0.59
6 N 0.242 0.000 0.000  0.25
7 N 0.251 0.000 0.251  0.59
8 N 0.000 0.749 0.749  0.59
9 N 0.000 0.251 0.251  0.59
10 N 0.758 0.758 0.758  0.25

Results
Formation energy (no corrections) = 1.914 eV/atom
Crystal system = cubic
E_tot = -64.112 eV/cell

=====

Record 5
The following is a DFT calculation (GGA-PBE) of a relaxed structure of Pm2DyMgTl4.

a b c (Å): 5.321 5.321 9.512
angles (deg): 73.76 73.76 60.00
Fractional positions:
1 Tl 0.122 0.122 0.633
2 Tl 0.626 0.626 0.121
3 Tl 0.878 0.878 0.367
4 Tl 0.374 0.374 0.879
5 Pm 0.758 0.758 0.726
6 Pm 0.242 0.242 0.274
7 Mg 0.500 0.500 0.500
8 Dy 0.000 0.000 0.000

Results
Crystal system = trigonal
DFT formation energy = -0.31 eV/atom
E_tot = -27.682 eV/cell

=====

Record 6
The following is a DFT calculation (GGA-PBE) of a relaxed structure of ZrScCo2.

a b c (Å): 4.498 4.497 3.134
angles (deg): 90.00 90.00 90.00
Site moments in Bohr magnetons follow the coordinates.
Fractional positions:
1 Zr 0.000 0.500 0.500  -0.15
2 Sc 0.500 0.000 0.500  -0.15
3 Co 0.500 0.500 0.000  0.79
4 Co 0.000 0.000 0.000  0.79

Results
Crystal system = tetragonal
DFT formation energy = -0.34 eV/atom
E_tot = -30.463 eV/cell

=====

- Which value of E_tot does entry 2 give?
  -58.649 eV/cell

=====

Copy entry 1 word for word.
The following is a DFT calculation (GGA-PBE) of a relaxed structure of CsKIn2Pd.

a b c (Å): 5.331 5.331 6.289
angles (deg): 90.00 90.00 90.00
Fractional positions:
1 Pd 0.000 0.000 0.000
2 Cs 0.500 0.500 0.500
3 K 0.000 0.000 0.500
4 In 0.000 0.500 0.000
5 In 0.500 0.000 0.000

Results
Crystal system = tetragonal
DFT formation energy = -0.15 eV/atom
E_tot = -13.361 eV/cell

=====

- Look up the E_tot of the first one.
  -13.361 eV/cell